Entry from Alexandria: crystalline TcHg2Os at its relaxed geometry (PBE).

## Properties
Total energy   -4.18 eV/atom
D(E_F)   19.82 states/eV per cell
E above lowest polymorph   100.8 kJ/mol of atoms
Formation enthalpy at 0 K   1.368 eV/atom
Crystal system   tetragonal

Cell: 7.655 7.655 5.343 Å, 90.00 90.00 90.00°
Space group I-42d (No. 122)
Asymmetric unit:
Tc (0.000, 0.000, 0.000) (multiplicity 4)
Hg (0.245, 0.250, 0.625) (multiplicity 8)
Os (0.000, 0.000, 0.500) (multiplicity 4)

Entry from Alexandria: crystalline Na2DyZnSb2 at its relaxed geometry (PBE).

## Properties
Total energy   -3.31 eV/atom
D(E_F)   4.33 states/eV per cell
Crystal system   orthorhombic

Cell: 4.706 9.071 7.292 Å, 90.00 90.00 90.00°
Space group Pmc2_1 (No. 26)
Asymmetric unit:
Na (0.000, 0.068, 0.000) (multiplicity 2)
Na (0.500, 0.147, 0.307) (multiplicity 2)
Dy (0.500, 0.481, 0.992) (multiplicity 2)
Zn (0.000, 0.330, 0.644) (multiplicity 2)
Sb (0.000, 0.364, 0.248) (multiplicity 2)
Sb (0.500, 0.195, 0.737) (multiplicity 2)

Entry from Alexandria: crystalline YCoB2 at its relaxed geometry (PBE).

## Properties
Total energy   -6.37 eV/atom
D(E_F)   4.31 states/eV per cell
E above lowest polymorph   84.7 kJ/mol of atoms
Formation enthalpy at 0 K   0.361 eV/atom
Crystal system   cubic

Cell: 5.742 5.742 5.742 Å, 90.00 90.00 90.00°
Space group Fm-3m (No. 225)
Asymmetric unit:
Y (0.000, 0.000, 0.000) (multiplicity 4)
Co (0.000, 0.000, 0.500) (multiplicity 4)
B (0.250, 0.250, 0.250) (multiplicity 8)